RbCuF3, optimized geometry, DFT PBE; electronic total energy = -4.21 eV/atom; formation energy (no corrections) = -200.1 kJ/mol of atoms; total moment = 0.37 μB per formula unit
1.0
4.1316 0.0000 0.0000
0.0000 4.1316 0.0000
0.0000 0.0000 4.1316
Rb Cu F
1 1 3
direct
0.0000 0.0000 0.0000 Rb
0.5000 0.5000 0.5000 Cu
0.0000 0.5000 0.5000 F
0.5000 0.0000 0.5000 F
0.5000 0.5000 0.0000 F

---

Rb5CuF6, optimized geometry, DFT PBE; electronic total energy = -4.03 eV/atom; formation energy (no corrections) = -227.2 kJ/mol of atoms; total moment = 0.16 μB per formula unit
1.0
3.4214 -6.0562 0.0000
3.4214 6.0562 0.0000
-1.8562 0.0000 6.5791
Rb Cu F
5 1 6
direct
0.0000 0.0000 0.0000 Rb
0.1811 0.8189 0.5000 Rb
0.3415 0.6585 0.0000 Rb
0.6585 0.3415 0.0000 Rb
0.8189 0.1811 0.5000 Rb
0.5000 0.5000 0.5000 Cu
0.0463 0.3948 0.2222 F
0.3203 0.3203 0.6649 F
0.3948 0.0463 0.2222 F
0.6052 0.9537 0.7778 F
0.6797 0.6797 0.3351 F
0.9537 0.6052 0.7778 F

---

Rb2Cu3F8, optimized geometry, DFT PBE; energy relative to the lowest polymorph listed for this composition = 0.0 meV per atom; electronic total energy = -4.16 eV/atom; formation energy (no corrections) = -184.4 kJ/mol of atoms; total moment = 3.01 μB per formula unit
1.0
6.1398 -3.0373 0.0000
6.1398 3.0373 0.0000
-1.7476 0.0000 5.9420
Rb Cu F
2 3 8
direct
0.2142 0.2142 0.1713 Rb
0.7858 0.7858 0.8287 Rb
0.2503 0.7497 0.5000 Cu
0.5000 0.5000 0.0000 Cu
0.7497 0.2503 0.5000 Cu
0.1023 0.1023 0.4925 F
0.2041 0.6404 0.1241 F
0.3596 0.7959 0.8759 F
0.4024 0.4024 0.5474 F
0.5976 0.5976 0.4526 F
0.6404 0.2041 0.1241 F
0.7959 0.3596 0.8759 F
0.8977 0.8977 0.5075 F

---

RbCu2F8, optimized geometry, DFT PBE; energy relative to the lowest polymorph listed for this composition = 0.0 meV per atom; electronic total energy = -3.69 eV/atom; formation energy (no corrections) = -144.2 kJ/mol of atoms; total moment = 1.16 μB per formula unit
1.0
4.9925 -3.0229 0.0000
4.9925 3.0229 0.0000
-0.9763 0.0000 6.0343
Rb Cu F
1 2 8
direct
0.0000 0.0000 0.0000 Rb
0.2631 0.2631 0.5087 Cu
0.7369 0.7369 0.4913 Cu
0.1119 0.6391 0.5735 F
0.2330 0.2330 0.7863 F
0.2962 0.2962 0.2326 F
0.3609 0.8881 0.4265 F
0.6391 0.1119 0.5735 F
0.7038 0.7038 0.7674 F
0.7670 0.7670 0.2137 F
0.8881 0.3609 0.4265 F

---

RbCu2F7, optimized geometry, DFT PBE; electronic total energy = -3.86 eV/atom; formation energy (no corrections) = -157.2 kJ/mol of atoms; total moment = 0.00 μB per formula unit
1.0
3.0357 -6.1341 0.0000
3.0357 6.1341 0.0000
0.0000 0.0000 3.8144
Rb Cu F
1 2 7
direct
0.0000 0.0000 0.0000 Rb
0.3400 0.6600 0.5000 Cu
0.6600 0.3400 0.5000 Cu
0.0499 0.3521 0.5000 F
0.3304 0.6696 0.0000 F
0.3521 0.0499 0.5000 F
0.5000 0.5000 0.5000 F
0.6479 0.9501 0.5000 F
0.6696 0.3304 0.0000 F
0.9501 0.6479 0.5000 F

---

Rb2CuF2, optimized geometry, DFT PBE; energy relative to the lowest polymorph listed for this composition = 63.0 meV per atom; electronic total energy = -3.30 eV/atom; formation energy (no corrections) = -129.4 kJ/mol of atoms; total moment = 0.81 μB per formula unit
1.0
-2.5457 2.5457 5.7927
2.5457 -2.5457 5.7927
2.5457 2.5457 -5.7927
Rb Cu F
2 1 2
direct
0.1721 0.1721 0.0000 Rb
0.8279 0.8279 0.0000 Rb
0.5000 0.5000 0.0000 Cu
0.2500 0.7500 0.5000 F
0.7500 0.2500 0.5000 F

---

Rb6CuF6, optimized geometry, DFT PBE; electronic total energy = -3.74 eV/atom; formation energy (no corrections) = -203.8 kJ/mol of atoms; total moment = 0.00 μB per formula unit
1.0
7.3223 0.0000 0.0000
-3.6612 6.3413 0.0000
0.0000 0.0000 7.6011
Rb Cu F
6 1 6
direct
0.0000 0.5000 0.2489 Rb
0.0000 0.5000 0.7511 Rb
0.5000 0.0000 0.2489 Rb
0.5000 0.0000 0.7511 Rb
0.5000 0.5000 0.2489 Rb
0.5000 0.5000 0.7511 Rb
0.0000 0.0000 0.0000 Cu
0.0000 0.0000 0.2472 F
0.0000 0.0000 0.7528 F
0.3333 0.6667 0.0000 F
0.3333 0.6667 0.5000 F
0.6667 0.3333 0.0000 F
0.6667 0.3333 0.5000 F

---

Rb2CuF3, optimized geometry, DFT PBE; electronic total energy = -4.07 eV/atom; formation energy (no corrections) = -205.7 kJ/mol of atoms; total moment = 0.05 μB per formula unit
1.0
6.1995 -3.4334 0.0000
6.1995 3.4334 0.0000
-3.2580 0.0000 6.2322
Rb Cu F
4 2 6
direct
0.0051 0.3057 0.1777 Rb
0.3057 0.0051 0.6777 Rb
0.6943 0.9949 0.3223 Rb
0.9949 0.6943 0.8223 Rb
0.4629 0.5371 0.2500 Cu
0.5371 0.4629 0.7500 Cu
0.0971 0.9029 0.2500 F
0.3262 0.3429 0.0772 F
0.3429 0.3262 0.5772 F
0.6571 0.6738 0.4228 F
0.6738 0.6571 0.9228 F
0.9029 0.0971 0.7500 F

---

Rb12Cu3F5, optimized geometry, DFT PBE; electronic total energy = -2.77 eV/atom; formation energy (no corrections) = -106.8 kJ/mol of atoms; total moment = 0.57 μB per formula unit
1.0
-9.2674 9.2674 9.2674
9.2674 -9.2674 9.2674
9.2674 9.2674 -9.2674
Rb Cu F
48 12 20
direct
0.0166 0.1979 0.1180 Rb
0.0166 0.3187 0.8986 Rb
0.0798 0.6979 0.6813 Rb
0.0798 0.8820 0.3986 Rb
0.1014 0.6180 0.4202 Rb
0.1014 0.9834 0.6813 Rb
0.1180 0.0166 0.1979 Rb
0.1180 0.6014 0.9202 Rb
0.1813 0.1979 0.5798 Rb
0.1813 0.4834 0.6014 Rb
0.1979 0.1180 0.0166 Rb
0.1979 0.5798 0.1813 Rb
0.3021 0.3187 0.9202 Rb
0.3021 0.4834 0.3820 Rb
0.3187 0.8986 0.0166 Rb
0.3187 0.9202 0.3021 Rb
0.3820 0.3021 0.4834 Rb
0.3820 0.5798 0.8986 Rb
0.3986 0.0798 0.8820 Rb
0.3986 0.8187 0.5166 Rb
0.4202 0.1014 0.6180 Rb
0.4202 0.8187 0.8021 Rb
0.4834 0.3820 0.3021 Rb
0.4834 0.6014 0.1813 Rb
0.5166 0.3986 0.8187 Rb
0.5166 0.6180 0.6979 Rb
0.5798 0.1813 0.1979 Rb
0.5798 0.8986 0.3820 Rb
0.6014 0.1813 0.4834 Rb
0.6014 0.9202 0.1180 Rb
0.6180 0.4202 0.1014 Rb
0.6180 0.6979 0.5166 Rb
0.6813 0.0798 0.6979 Rb
0.6813 0.1014 0.9834 Rb
0.6979 0.5166 0.6180 Rb
0.6979 0.6813 0.0798 Rb
0.8021 0.4202 0.8187 Rb
0.8021 0.8820 0.9834 Rb
0.8187 0.5166 0.3986 Rb
0.8187 0.8021 0.4202 Rb
0.8820 0.3986 0.0798 Rb
0.8820 0.9834 0.8021 Rb
0.8986 0.0166 0.3187 Rb
0.8986 0.3820 0.5798 Rb
0.9202 0.1180 0.6014 Rb
0.9202 0.3021 0.3187 Rb
0.9834 0.6813 0.1014 Rb
0.9834 0.8021 0.8820 Rb
0.1250 0.2500 0.3750 Cu
0.1250 0.3750 0.7500 Cu
0.2500 0.3750 0.1250 Cu
0.2500 0.8750 0.6250 Cu
0.3750 0.1250 0.2500 Cu
0.3750 0.7500 0.1250 Cu
0.6250 0.2500 0.8750 Cu
0.6250 0.8750 0.7500 Cu
0.7500 0.1250 0.3750 Cu
0.7500 0.6250 0.8750 Cu
0.8750 0.6250 0.2500 Cu
0.8750 0.7500 0.6250 Cu
0.0000 0.0000 0.0000 F
0.0000 0.0000 0.5000 F
0.0000 0.5000 0.0000 F
0.0000 0.5000 0.5000 F
0.1250 0.7500 0.8750 F
0.1250 0.8750 0.2500 F
0.2500 0.1250 0.8750 F
0.2500 0.6250 0.3750 F
0.3750 0.2500 0.6250 F
0.3750 0.6250 0.7500 F
0.5000 0.0000 0.0000 F
0.5000 0.0000 0.5000 F
0.5000 0.5000 0.0000 F
0.5000 0.5000 0.5000 F
0.6250 0.3750 0.2500 F
0.6250 0.7500 0.3750 F
0.7500 0.3750 0.6250 F
0.7500 0.8750 0.1250 F
0.8750 0.1250 0.7500 F
0.8750 0.2500 0.1250 F

---

RbCu4F12, optimized geometry, DFT PBE; electronic total energy = -3.90 eV/atom; formation energy (no corrections) = -150.6 kJ/mol of atoms; total moment = 0.00 μB per formula unit
1.0
-3.8744 3.8744 3.8814
3.8744 -3.8744 3.8814
3.8744 3.8744 -3.8814
Rb Cu F
1 4 12
direct
0.0000 0.0000 0.0000 Rb
0.0000 0.0000 0.5000 Cu
0.0000 0.5000 0.0000 Cu
0.5000 0.0000 0.0000 Cu
0.5000 0.5000 0.5000 Cu
0.0000 0.2517 0.7483 F
0.0000 0.7483 0.2517 F
0.2517 0.0000 0.7483 F
0.2517 0.2517 0.5033 F
0.2517 0.5033 0.2517 F
0.2517 0.7483 0.0000 F
0.4967 0.7483 0.7483 F
0.5033 0.2517 0.2517 F
0.7483 0.0000 0.2517 F
0.7483 0.2517 0.0000 F
0.7483 0.4967 0.7483 F
0.7483 0.7483 0.4967 F

---

RbCu2F, optimized geometry, DFT PBE; energy relative to the lowest polymorph listed for this composition = 0.0 meV per atom; electronic total energy = -3.38 eV/atom; formation energy (no corrections) = -59.6 kJ/mol of atoms; total moment = 0.00 μB per formula unit
1.0
-1.7991 1.7991 13.0953
1.7991 -1.7991 13.0953
1.7991 1.7991 -13.0953
Rb Cu F
2 4 2
direct
0.0000 0.0000 0.0000 Rb
0.7500 0.2500 0.5000 Rb
0.1272 0.1250 0.5022 Cu
0.3750 0.8728 0.9978 Cu
0.6228 0.6250 0.4978 Cu
0.8750 0.3772 0.0022 Cu
0.2500 0.7500 0.5000 F
0.5000 0.5000 0.0000 F

---

Rb2CuF7, optimized geometry, DFT PBE; energy relative to the lowest polymorph listed for this composition = 17.3 meV per atom; electronic total energy = -3.65 eV/atom; formation energy (no corrections) = -167.3 kJ/mol of atoms; total moment = 1.99 μB per formula unit
1.0
6.4423 0.0000 0.0000
2.8682 7.1553 0.0000
2.5224 0.2261 7.4836
Rb Cu F
4 2 14
direct
0.1567 0.2230 0.4699 Rb
0.1881 0.7247 0.9194 Rb
0.8119 0.2753 0.0806 Rb
0.8433 0.7770 0.5301 Rb
0.4429 0.7721 0.2641 Cu
0.5571 0.2279 0.7359 Cu
0.0060 0.4946 0.2053 F
0.1742 0.9629 0.2031 F
0.2919 0.8235 0.4992 F
0.3070 0.6021 0.2727 F
0.3144 0.4380 0.6404 F
0.3996 0.2872 0.9650 F
0.4109 0.0644 0.7446 F
0.5891 0.9356 0.2554 F
0.6004 0.7128 0.0350 F
0.6856 0.5620 0.3596 F
0.6930 0.3979 0.7273 F
0.7081 0.1765 0.5008 F
0.8258 0.0371 0.7969 F
0.9940 0.5054 0.7947 F

---

Rb2CuF6, optimized geometry, DFT PBE; electronic total energy = -3.91 eV/atom; formation energy (no corrections) = -192.0 kJ/mol of atoms; total moment = 1.00 μB per formula unit
1.0
0.0000 4.2975 4.2975
4.2975 0.0000 4.2975
4.2975 4.2975 0.0000
Rb Cu F
2 1 6
direct
0.2500 0.2500 0.2500 Rb
0.7500 0.7500 0.7500 Rb
0.0000 0.0000 0.0000 Cu
0.2165 0.2165 0.7835 F
0.2165 0.7835 0.2165 F
0.2165 0.7835 0.7835 F
0.7835 0.2165 0.2165 F
0.7835 0.2165 0.7835 F
0.7835 0.7835 0.2165 F

---

Rb3Cu2F8, optimized geometry, DFT PBE; electronic total energy = -4.02 eV/atom; formation energy (no corrections) = -194.1 kJ/mol of atoms; total moment = 3.00 μB per formula unit
1.0
3.0139 1.7401 7.7484
-3.0139 1.7401 7.7484
0.0000 -3.4802 7.7484
Rb Cu F
3 2 8
direct
0.0000 0.0000 0.0000 Rb
0.2018 0.2018 0.2018 Rb
0.7982 0.7982 0.7982 Rb
0.4014 0.4014 0.4014 Cu
0.5986 0.5986 0.5986 Cu
0.2391 0.7287 0.7287 F
0.2713 0.2713 0.7609 F
0.2713 0.7609 0.2713 F
0.3204 0.3204 0.3204 F
0.6796 0.6796 0.6796 F
0.7287 0.2391 0.7287 F
0.7287 0.7287 0.2391 F
0.7609 0.2713 0.2713 F

---

RbCu3F9, optimized geometry, DFT PBE; electronic total energy = -4.01 eV/atom; formation energy (no corrections) = -163.7 kJ/mol of atoms; total moment = 0.00 μB per formula unit
1.0
7.3672 0.0000 0.0000
-3.6836 6.3802 0.0000
0.0000 0.0000 3.8424
Rb Cu F
1 3 9
direct
0.0000 0.0000 0.0000 Rb
0.0000 0.5000 0.5000 Cu
0.5000 0.0000 0.5000 Cu
0.5000 0.5000 0.5000 Cu
0.0000 0.5000 0.0000 F
0.2041 0.4083 0.5000 F
0.2041 0.7959 0.5000 F
0.4083 0.2041 0.5000 F
0.5000 0.0000 0.0000 F
0.5000 0.5000 0.0000 F
0.5917 0.7959 0.5000 F
0.7959 0.2041 0.5000 F
0.7959 0.5917 0.5000 F

---

Rb3CuF, optimized geometry, DFT PBE; energy relative to the lowest polymorph listed for this composition = 0.0 meV per atom; electronic total energy = -2.59 eV/atom; formation energy (no corrections) = -79.1 kJ/mol of atoms; total moment = 0.00 μB per formula unit
1.0
5.6614 0.0000 0.0000
0.0000 5.6614 0.0000
0.0000 0.0000 5.6614
Rb Cu F
3 1 1
direct
0.0000 0.0000 0.5000 Rb
0.0000 0.5000 0.0000 Rb
0.5000 0.0000 0.0000 Rb
0.5000 0.5000 0.5000 Cu
0.0000 0.0000 0.0000 F

---

RbCuF3, optimized geometry, DFT PBE; electronic total energy = -2.87 eV/atom; formation energy (no corrections) = -71.1 kJ/mol of atoms; total moment = 1.00 μB per formula unit
1.0
4.9138 0.0000 0.0000
0.0000 4.9138 0.0000
0.0000 0.0000 4.9138
Rb Cu F
1 1 3
direct
0.0000 0.0000 0.0000 Rb
0.5000 0.5000 0.5000 Cu
0.0000 0.0000 0.5000 F
0.0000 0.5000 0.0000 F
0.5000 0.0000 0.0000 F

---

RbCuF4, optimized geometry, DFT PBE; electronic total energy = -3.83 eV/atom; formation energy (no corrections) = -168.0 kJ/mol of atoms; total moment = 2.00 μB per formula unit
1.0
5.5602 0.0000 0.0000
0.0000 5.5602 0.0000
0.0000 0.0000 7.6417
Rb Cu F
2 2 8
direct
0.2500 0.7500 0.2500 Rb
0.7500 0.2500 0.7500 Rb
0.2500 0.7500 0.7500 Cu
0.7500 0.2500 0.2500 Cu
0.0097 0.7500 0.5878 F
0.2500 0.5097 0.9122 F
0.2500 0.9903 0.9122 F
0.4903 0.7500 0.5878 F
0.5097 0.2500 0.4122 F
0.7500 0.0097 0.0878 F
0.7500 0.4903 0.0878 F
0.9903 0.2500 0.4122 F